Computed, not measured: crystalline HfMgAsRh2 at its relaxed geometry at the PBE level of DFT.

```
data_HfMgAsRh2
_space_group_name_H-M_alt 'P 1'
_space_group_IT_number 1
_space_group_name_Hall 'P 1'
_cell_length_a 4.708
_cell_length_b 4.708
_cell_length_c 5.423
_cell_angle_alpha 90.00
_cell_angle_beta 90.00
_cell_angle_gamma 90.00
loop_
_atom_site_label
_atom_site_type_symbol
_atom_site_fract_x
_atom_site_fract_y
_atom_site_fract_z
Hf1 Hf 0.000 0.000 0.000
Mg1 Mg 0.000 0.000 0.500
As1 As 0.500 0.500 0.500
Rh1 Rh 0.000 0.500 0.000
Rh2 Rh 0.500 0.000 0.000
```

Results
Its crystal system is tetragonal. The formation energy is 84.3 kJ per mole of atoms. As for the space group: P4/mmm (123). The uncorrected energy comes out at -5.31 eV per atom. The calculation puts the spin magnetization at 0.0 Bohr magnetons per cell. The theoretical density comes out at 6.7 Mg/m³. As for the density of states at the Fermi level: 0.69 states/eV/atom.